No. 1
Below is crystalline LaSmI at its relaxed geometry, with properties calculated at the PBE level.

Cell: 3.762 19.899 5.603 Å, 90.00 90.00 90.00°
Fractional positions:
La (0.000, 0.135, 0.250)
La (0.000, 0.865, 0.750)
La (0.500, 0.365, 0.750)
La (0.500, 0.635, 0.250)
Sm (0.000, 0.471, 0.250)
Sm (0.000, 0.529, 0.750)
Sm (0.500, 0.029, 0.750)
Sm (0.500, 0.971, 0.250)
I (0.000, 0.310, 0.250)
I (0.000, 0.690, 0.750)
I (0.500, 0.190, 0.750)
I (0.500, 0.810, 0.250)

***

No. 2
Below is crystalline Li2MgAgHg at its relaxed geometry, with properties calculated at the PBE level.

Cell: 7.411 7.411 8.990 Å, 90.00 90.00 155.98°
Fractional positions:
Li (0.184, 0.816, 0.590)
Li (0.184, 0.816, 0.910)
Li (0.816, 0.184, 0.090)
Li (0.816, 0.184, 0.410)
Mg (0.500, 0.500, 0.000)
Mg (0.500, 0.500, 0.500)
Ag (0.029, 0.971, 0.750)
Ag (0.971, 0.029, 0.250)
Hg (0.175, 0.825, 0.250)
Hg (0.825, 0.175, 0.750)

***

No. 3
Below is crystalline EuYInAu at its relaxed geometry, with properties calculated at the PBE level.

Cell: 7.528 7.528 7.528 Å, 90.00 90.00 90.00°
Fractional positions:
Eu (0.000, 0.000, 0.000)
Eu (0.000, 0.500, 0.500)
Eu (0.500, 0.000, 0.500)
Eu (0.500, 0.500, 0.000)
Y (0.000, 0.000, 0.500)
Y (0.000, 0.500, 0.000)
Y (0.500, 0.000, 0.000)
Y (0.500, 0.500, 0.500)
In (0.250, 0.250, 0.250)
In (0.250, 0.750, 0.750)
In (0.750, 0.250, 0.750)
In (0.750, 0.750, 0.250)
Au (0.250, 0.250, 0.750)
Au (0.250, 0.750, 0.250)
Au (0.750, 0.250, 0.250)
Au (0.750, 0.750, 0.750)

***

No. 4
Below is crystalline LiV2AgBi at its relaxed geometry, with properties calculated at the PBE level.

Cell: 5.256 5.256 5.038 Å, 90.00 90.00 90.00°
Fractional positions:
Li (0.000, 0.000, 0.000)
V (0.000, 0.500, 0.500)
V (0.500, 0.000, 0.500)
Ag (0.500, 0.500, 0.000)
Bi (0.000, 0.000, 0.500)

***

No. 5
Below is crystalline Zr2MnV2 at its relaxed geometry, with properties calculated at the PBE level.

Cell: 6.081 6.081 4.637 Å, 90.00 90.00 90.00°
Fractional positions:
Zr (0.168, 0.332, 0.000)
Zr (0.332, 0.832, 0.000)
Zr (0.668, 0.168, 0.000)
Zr (0.832, 0.668, 0.000)
Mn (0.000, 0.000, 0.500)
Mn (0.500, 0.500, 0.500)
V (0.152, 0.652, 0.500)
V (0.348, 0.152, 0.500)
V (0.652, 0.848, 0.500)
V (0.848, 0.348, 0.500)

***

No. 6
Below is crystalline Zr3Ti3P2 at its relaxed geometry, with properties calculated at the PBE level.

Cell: 3.579 3.726 11.268 Å, 90.00 90.00 90.00°
Fractional positions:
Zr (0.000, 0.000, 0.000)
Zr (0.000, 0.000, 0.315)
Zr (0.500, 0.000, 0.618)
Ti (0.000, 0.500, 0.781)
Ti (0.500, 0.500, 0.164)
Ti (0.500, 0.500, 0.405)
P (0.000, 0.500, 0.556)
P (0.500, 0.500, 0.937)

***

Taking the records one at a time from the top gives calculated total energy values of -4.253, -1.859, -6.268, -4.330, -8.770, -8.072 eV per atom.